The following is a DFT calculation (PBE) of a geometry-optimized Ba3PrNd2Se6 structure.

extended XYZ file:
```
12
Lattice="-1.231 6.907 -2.976 -3.172 -6.144 -3.205 -4.514 0.559 6.423" Properties=species:S:1:pos:R:3 pbc="T T T"
Se -4.262 0.689 -3.136
Se -1.749 2.496 -0.022
Se -4.655 0.633 3.378
Se -6.517 3.199 0.341
Se -7.168 -1.174 0.264
Se -2.400 -1.877 -0.099
Ba -5.107 -3.696 0.045
Ba -4.458 0.661 0.121
Ba -3.810 5.018 0.198
Pr 0.000 0.000 0.000
Nd -2.525 -1.795 -3.129
Nd -1.878 2.558 -3.052
```



The following is a DFT calculation (PBE) of a geometry-optimized SnTe2OsN structure.

extended XYZ file:
```
5
Lattice="5.587 0.000 0.000 0.000 5.587 0.000 0.000 0.000 3.710" Properties=species:S:1:pos:R:3 pbc="T T T"
Te 0.000 2.793 0.000
Te 2.793 0.000 0.000
Sn 2.793 2.793 1.855
Os 0.000 0.000 0.000
N 0.000 0.000 1.855
```

Polymorph energy (0 for the lowest one) in meV per atom: 0



The following is a DFT calculation (PBE) of a geometry-optimized Ni2TeW structure.

extended XYZ file:
```
4
Lattice="2.885 -0.002 0.000 0.002 2.885 0.000 0.000 0.000 7.609" Properties=species:S:1:pos:R:3 pbc="T T T"
Ni 0.000 0.000 7.389
Ni 0.000 0.000 4.025
Te 1.443 1.442 1.902
W 1.443 1.442 5.707
```



Asked for energy relative to the elements, uncorrected across the records above, the calculation gives -1918, 246, 342 meV/atom in order.